# 1
# NaLa2Cu

NaLa2Cu after structural relaxation (PBE, Alexandria via LeMat-Bulk).

Cell: 3.7635 3.7635 32.1818 Å, 90.00 90.00 120.00°
With the nearest neighbours (Å) after each atom.
Space group R3m (No. 160, hexagonal axes)
One atom of each set of equivalent atoms:
Na 0.0000 0.0000 0.0000  6 Na 3.76, 6 La 3.98-3.99
La 0.0000 0.0000 0.2294  3 Cu 2.97
La 0.0000 0.0000 0.4370  3 Cu 2.97
Cu 0.0000 0.0000 0.8332  6 La 2.97

DOS at the Fermi energy: 4.8 states/eV/f.u.
distance to the lowest polymorph of the same formula: 0.082 eV per atom



# 2
# LiAc2Ni3

LiAc2Ni3 after structural relaxation (PBE, Alexandria via LeMat-Bulk).

Cell: 4.2014 4.2197 14.8391 Å, 90.00 90.00 90.00°
With the nearest neighbours (Å) after each atom.
Space group Imm2 (No. 44)
One atom of each set of equivalent atoms:
Li 0.0000 0.0000 0.0000  3 Ni 2.53-2.54
Ac 0.0000 0.0000 0.4080  8 Ni 3.12-3.46, 4 Li 3.28
Ac 0.0000 0.5000 0.6732  10 Ni 3.13-3.20, 2 Li 3.32
Ni 0.0000 0.0000 0.8286  2 Ni 2.38, 1 Li 2.54
Ni 0.0000 0.5000 0.0936  1 Ni 2.36, 2 Li 2.53
Ni 0.0000 0.5000 0.2527  3 Ni 2.36-2.38

DOS at the Fermi energy: 4.2 states/eV/f.u.
distance to the lowest polymorph of the same formula: 0.004 eV per atom



# 3
# SbMo2Os

SbMo2Os after structural relaxation (PBE, Alexandria via LeMat-Bulk).

Cell: 3.8656 3.8656 8.7840 Å, 90.00 90.00 90.00°
With the nearest neighbours (Å) after each atom.
Space group I4/mmm (No. 139)
One atom of each set of equivalent atoms:
Sb 0.0000 0.0000 0.0000  4 Os 2.73, 8 Mo 2.93
Mo 0.0000 0.5000 0.2500  4 Mo 2.73, 4 Sb 2.93, 4 Os 2.93
Os 0.0000 0.0000 0.5000  4 Sb 2.73, 8 Mo 2.93

DOS at the Fermi energy: 2.3 states/eV/f.u.
final energy: -8.995 eV/atom



# 4
# Ta2TlPt

Ta2TlPt after structural relaxation (PBE, Alexandria via LeMat-Bulk).

Cell: 10.9591 2.9716 5.0884 Å, 90.00 114.99 90.00°
With the nearest neighbours (Å) after each atom.
Space group Cm (No. 8)
One atom of each set of equivalent atoms:
Ta 0.0000 0.0000 0.0000  2 Pt 2.75, 4 Ta 2.87-2.97, 4 Tl 2.92-2.99
Ta 0.2424 0.5000 0.1274  5 Ta 2.87-3.15, 4 Pt 2.91-3.03, 1 Tl 3.04
Tl 0.0219 0.5000 0.5123  7 Ta 2.92-3.22, 2 Tl 2.97, 3 Pt 3.00-3.01
Pt 0.2798 0.0000 0.6487  6 Ta 2.75-3.03, 2 Pt 2.97, 3 Tl 3.00-3.01

DOS at the Fermi energy: 2.7 states/eV/f.u.
distance to the lowest polymorph of the same formula: 0.082 eV per atom



| no. | ρ (Mg/m³) |
| --- | --- |
| 1 | 4.60 |
| 2 | 8.04 |
| 3 | 12.75 |
| 4 | 16.84 |